(1)
# KPuPdCl6

KPuPdCl6 after structural relaxation (PBE, the Alexandria database).

a = 6.6525 Å, b = 6.6525 Å, c = 14.5740 Å
α = 90.00°, β = 90.00°, γ = 120.00°
Last column: magnetic moment on the atom in μB.
Atoms (fractional coordinates):
Pu1 0.3333 0.6667 0.7500  4.75
Cl1 0.0081 0.3637 0.1438  -0.11
Pu2 0.6667 0.3333 0.2500  4.75
Cl2 0.3637 0.3556 0.8562  -0.11
K1 0.0000 0.0000 0.5000  0.00
Cl3 0.3556 0.9919 0.1438  -0.11
Cl4 0.6444 0.0081 0.8562  -0.11
Pd1 0.3333 0.6667 0.2500  -1.03
Pd2 0.6667 0.3333 0.7500  -1.03
Cl5 0.3637 0.0081 0.6438  -0.11
Cl6 0.6363 0.6444 0.1438  -0.11
Cl7 0.3556 0.3637 0.3562  -0.11
Cl8 0.6363 0.9919 0.3562  -0.11
Cl9 0.9919 0.6363 0.8562  -0.11
K2 0.0000 0.0000 0.0000  0.00
Cl10 0.6444 0.6363 0.6438  -0.11
Cl11 0.9919 0.3556 0.6438  -0.11
Cl12 0.0081 0.6444 0.3562  -0.11

DOS(E_F), states/eV per atom: 0.885
Formation energy from raw total energies, eV per atom: -1.413

***

(2)
# K2RbPdCl6

K2RbPdCl6 after structural relaxation (PBE, the Alexandria database).

a = 7.0919 Å, b = 7.0919 Å, c = 16.4283 Å
α = 77.54°, β = 77.54°, γ = 60.00°
Last column: magnetic moment on the atom in μB.
Atoms (fractional coordinates):
Rb1 0.4157 0.4157 0.7528  0.01
Cl1 0.7086 0.1907 0.9100  0.06
Rb2 0.5843 0.5843 0.2472  0.01
Cl2 0.6317 0.1468 0.5897  0.06
Cl3 0.8093 0.8093 0.0900  0.06
Pd1 0.5000 0.5000 0.5000  0.53
K1 0.8532 0.8532 0.4405  0.00
K2 0.6860 0.6860 0.9419  0.00
Cl4 0.1907 0.7086 0.9100  0.06
K3 0.1468 0.1468 0.5595  0.00
Cl5 0.6317 0.6317 0.5897  0.06
Cl6 0.3683 0.8532 0.4103  0.06
K4 0.3140 0.3140 0.0581  0.00
Cl7 0.1907 0.1907 0.9100  0.06
Cl8 0.2914 0.8093 0.0900  0.06
Cl9 0.8532 0.3683 0.4103  0.06
Cl10 0.8093 0.2914 0.0900  0.06
Pd2 0.0000 0.0000 0.0000  0.56
Cl11 0.3683 0.3683 0.4103  0.06
Cl12 0.1468 0.6317 0.5897  0.06

DOS(E_F), states/eV per atom: 0.363
Formation energy from raw total energies, eV per atom: -1.309

***

(3)
# KRbPdCl6

KRbPdCl6 after structural relaxation (PBE, the Alexandria database).

a = 7.4080 Å, b = 7.4081 Å, c = 6.6529 Å
α = 90.00°, β = 90.00°, γ = 60.00°
Atoms (fractional coordinates):
Cl1 0.0751 0.3336 0.2931
Cl2 0.5913 0.0751 0.2931
Cl3 0.3336 0.0751 0.7069
Cl4 0.3335 0.5913 0.2931
Rb1 0.0000 0.0000 0.0000
Cl5 0.5913 0.3336 0.7069
Pd1 0.3333 0.3333 0.5000
K1 0.6666 0.6667 0.5000
Cl6 0.0751 0.5913 0.7069

Formation energy from raw total energies, eV per atom: -1.076

***

(4)
# KRb2PdCl6

KRb2PdCl6 after structural relaxation (PBE, the Alexandria database).

a = 7.2285 Å, b = 7.2285 Å, c = 15.4392 Å
α = 76.46°, β = 76.46°, γ = 60.00°
Last column: magnetic moment on the atom in μB.
Atoms (fractional coordinates):
Cl1 0.6275 0.6275 0.5954  0.06
Cl2 0.1496 0.6275 0.5954  0.06
Pd1 0.5000 0.5000 0.5000  0.52
Rb1 0.8592 0.8592 0.4225  0.00
Cl3 0.6275 0.1496 0.5954  0.06
Cl4 0.3725 0.3725 0.4046  0.06
Cl5 0.7157 0.1904 0.9036  0.06
Pd2 0.0000 0.0000 0.0000  0.58
Cl6 0.2843 0.8096 0.0964  0.06
Cl7 0.1904 0.7157 0.9036  0.06
Cl8 0.8504 0.3725 0.4046  0.06
Cl9 0.8096 0.8096 0.0964  0.06
K1 0.5851 0.5851 0.2446  0.00
Rb2 0.1408 0.1408 0.5775  0.00
Cl10 0.1904 0.1904 0.9036  0.06
Rb3 0.6914 0.6914 0.9258  0.00
Cl11 0.3725 0.8504 0.4046  0.06
Rb4 0.3086 0.3086 0.0742  0.00
K2 0.4149 0.4149 0.7554  0.00
Cl12 0.8096 0.2843 0.0964  0.06

DOS(E_F), states/eV per atom: 0.414
Formation energy from raw total energies, eV per atom: -1.326

***

(5)
# K2RePdCl

K2RePdCl after structural relaxation (PBE, the Alexandria database).

a = 6.2820 Å, b = 4.8295 Å, c = 6.2820 Å
α = 90.00°, β = 90.00°, γ = 90.00°
Last column: magnetic moment on the atom in μB.
Atoms (fractional coordinates):
Re1 0.0000 0.5000 0.0000  2.66
Pd1 0.0000 0.0000 0.0000  0.19
K1 0.5000 0.0000 0.0000  0.00
Cl1 0.5000 0.5000 0.5000  0.02
K2 0.0000 0.0000 0.5000  0.00

DOS(E_F), states/eV per atom: 0.454
Formation energy from raw total energies, eV per atom: 0.525

***

(6)
# KPdRhCl6

KPdRhCl6 after structural relaxation (PBE, the Alexandria database).

a = 6.4320 Å, b = 6.4320 Å, c = 6.9584 Å
α = 90.00°, β = 90.00°, γ = 60.00°
Last column: magnetic moment on the atom in μB.
Atoms (fractional coordinates):
K1 0.0000 0.0000 0.0000  0.00
Cl1 0.6251 0.0212 0.3062  0.10
Cl2 0.3537 0.6251 0.3062  0.10
Cl3 0.3537 0.0212 0.6937  0.10
Pd1 0.6666 0.6667 0.5000  1.15
Rh1 0.3333 0.3333 0.5000  0.05
Cl4 0.6250 0.3538 0.6937  0.10
Cl5 0.0212 0.6251 0.6937  0.10
Cl6 0.0211 0.3538 0.3062  0.10

Formation energy from raw total energies, eV per atom: -0.814

***

Looking at total magnetic moment for the records above, in order, we have 0.333 0.104 0.000 0.105 0.731 0.222 μB/atom.